# HgP2N

A relaxed structure of HgP2N (PBE-GGA, Alexandria).

Properties
N(E_F) = 1.98 states/eV per cell
Energy relative to the lowest polymorph listed for this composition = 3.84 eV/f.u.
Formation energy (no corrections) = 163.2 kJ per mole of atoms

Cell: 4.416 4.416 4.416 Å, 60.00 60.00 60.00°
Positions (direct):
Hg  0.000  0.000  0.000
P  0.250  0.250  0.250
P  0.750  0.750  0.750
N  0.500  0.500  0.500